A plane-wave DFT calculation with PBE was carried out for a geometry-optimized Sr8Sb5Cl structure.

Summary:
Formation energy without anion corrections = -1.20 eV per atom
Symmetry = No. 82

Cell and atoms, written as extended XYZ:
```
14
Lattice="8.210 0.000 -2.787 -4.113 7.042 -2.941 0.017 0.000 8.670" Properties=species:S:1:pos:R:3 pbc="T T T"
Sr -2.008 5.307 -2.395
Sr 7.585 0.780 3.290
Sr 5.126 1.678 0.282
Sr 3.725 2.752 4.728
Sr 1.565 4.290 -0.944
Sr 1.453 6.262 3.172
Sr 1.197 1.735 1.816
Sr -2.190 5.364 1.818
Sb -1.441 2.677 0.003
Sb 3.491 6.202 -2.870
Sb 3.651 4.366 1.577
Sb 4.113 0.000 2.941
Sb 2.525 0.841 7.173
Cl 0.008 3.521 4.335
```

A plane-wave DFT calculation with PBE was carried out for a geometry-optimized La12Er3Th structure.

Summary:
Energy relative to the elements = 0.32 eV per formula unit
Symmetry = No. 123

Cell and atoms, written as extended XYZ:
```
16
Lattice="-2.150 -1.021 4.625 4.703 0.141 2.217 -2.242 20.381 3.455" Properties=species:S:1:pos:R:3 pbc="T T T"
La 1.276 -0.440 3.421
La 0.710 4.706 4.293
La 0.155 9.751 5.149
La -0.400 14.796 6.004
La -1.349 1.980 2.734
La -1.915 7.130 3.608
La -2.477 12.230 4.472
La -3.043 17.381 5.345
La 2.077 2.561 1.531
La 1.511 7.711 2.404
La 0.950 12.811 3.269
La 0.383 17.962 4.142
Er -0.563 5.120 0.868
Er -1.121 10.191 1.728
Er -1.679 15.261 2.587
Th 0.000 0.000 0.000
```

A plane-wave DFT calculation with PBE was carried out for a geometry-optimized BeCu2Tc structure.

Summary:
Energy relative to the elements = 0.84 eV per formula unit
Symmetry = No. 139

Cell and atoms, written as extended XYZ:
```
4
Lattice="4.609 0.037 0.000 1.931 4.185 0.000 -3.270 -2.111 2.469" Properties=species:S:1:pos:R:3 pbc="T T T"
Be 2.305 0.018 1.234
Tc 0.966 2.093 1.234
Cu 0.000 0.000 0.000
Cu 3.270 2.111 0.000
```

A plane-wave DFT calculation with PBE was carried out for a geometry-optimized In2RuCl structure.

Summary:
Formation energy without anion corrections = 0.33 eV per atom
Symmetry = No. 71

Cell and atoms, written as extended XYZ:
```
4
Lattice="5.674 -0.027 0.018 1.703 5.412 -0.018 -2.685 -4.068 2.905" Properties=species:S:1:pos:R:3 pbc="T T T"
Cl 1.354 2.018 1.444
In 7.252 5.294 0.000
In 3.814 2.784 0.000
Ru 3.339 -0.701 1.461
```

A plane-wave DFT calculation with PBE was carried out for a geometry-optimized LiHoS structure.

Summary:
Formation energy without anion corrections = -1.13 eV per atom
Symmetry = No. 12

Cell and atoms, written as extended XYZ:
```
6
Lattice="3.749 -0.016 0.208 -1.859 4.875 0.012 -0.363 -1.728 6.433" Properties=species:S:1:pos:R:3 pbc="T T T"
Ho 0.694 0.290 4.501
Ho 0.833 2.840 2.151
Li -1.262 2.272 6.016
Li 2.789 0.858 0.636
S 0.688 3.091 4.846
S 0.839 0.039 1.807
```

A plane-wave DFT calculation with PBE was carried out for a geometry-optimized CaPmPtRh structure.

Summary:
Energy relative to the elements = -3.11 eV per formula unit
Symmetry = No. 99

Cell and atoms, written as extended XYZ:
```
4
Lattice="-1.368 2.947 1.517 -2.834 -0.188 -2.190 -3.224 -3.813 4.499" Properties=species:S:1:pos:R:3 pbc="T T T"
Ca -1.153 -1.364 1.609
Pm -2.775 -3.282 3.873
Pt -4.086 -0.968 2.434
Rh -2.404 1.022 0.086
```

A plane-wave DFT calculation with PBE was carried out for a geometry-optimized SrNiHg2 structure.

Summary:
Energy relative to the elements = -0.70 eV per formula unit
Symmetry = No. 166

Cell and atoms, written as extended XYZ:
```
4
Lattice="-3.408 3.603 -3.658 -2.484 -0.418 -5.624 -5.685 -0.146 -2.374" Properties=species:S:1:pos:R:3 pbc="T T T"
Hg -11.146 2.926 -11.222
Hg -6.220 1.633 -6.262
Ni -2.894 0.760 -2.914
Sr -8.683 2.280 -8.742
```

A plane-wave DFT calculation with PBE was carried out for a geometry-optimized Tl2TeBr4F2 structure.

Summary:
Formation energy without anion corrections = -1.05 eV per atom
Symmetry = No. 12

Cell and atoms, written as extended XYZ:
```
9
Lattice="6.132 0.087 0.059 1.482 7.087 0.116 1.482 2.710 6.550" Properties=species:S:1:pos:R:3 pbc="T T T"
Tl 3.340 6.835 4.650
Tl 5.756 3.050 2.075
Te 3.066 0.043 0.029
Br 3.060 5.035 1.128
Br 6.035 6.986 2.456
Br 6.035 4.850 5.596
Br 3.060 2.898 4.269
F 1.794 1.397 0.950
F 7.301 8.487 5.774
```